Entry from Alexandria: crystalline BaHg8 at its relaxed geometry (PBEsol).

Summary:
E_form   -0.222 eV per atom

Cell lengths 4.6880, 7.4457, 7.4457 Å; angles 84.31, 71.65, 71.65 degrees
Sites, in units of the cell vectors:
Hg  0.0000  0.6571  0.3429
Ba  0.0000  0.0000  0.0000
Hg  0.3221  0.0000  0.3557
Hg  0.0000  0.3429  0.6571
Hg  0.3429  0.6571  0.6571
Hg  0.3221  0.3557  0.0000
Hg  0.6571  0.3429  0.3429
Hg  0.6779  0.0000  0.6443
Hg  0.6779  0.6443  0.0000

---

Entry from Alexandria: crystalline BaHg at its relaxed geometry (PBEsol).

Summary:
E_form   -0.523 eV per atom

Cell lengths 4.3468, 5.3673, 6.5623 Å; angles 90.00, 109.34, 90.00 degrees
Sites, in units of the cell vectors:
Ba  0.3622  0.2500  0.7244
Ba  0.6378  0.7500  0.2756
Hg  0.0779  0.2500  0.1559
Hg  0.9221  0.7500  0.8441

---

Entry from Alexandria: crystalline BaHg2 at its relaxed geometry (PBEsol).

Summary:
E_form   -0.548 eV per atom

Cell lengths 3.9608, 5.1398, 5.1398 Å; angles 120.00, 90.00, 90.00 degrees
Sites, in units of the cell vectors:
Hg  0.5000  0.3333  0.6667
Hg  0.5000  0.6667  0.3333
Ba  0.0000  0.0000  0.0000

---

Entry from Alexandria: crystalline BaHg2 at its relaxed geometry (PBEsol).

Summary:
E_form   -0.507 eV per atom

Cell lengths 4.5887, 4.5887, 9.7467 Å; angles 103.62, 103.62, 90.00 degrees
Sites, in units of the cell vectors:
Hg  0.1702  0.6702  0.3403
Hg  0.0798  0.0798  0.1597
Ba  0.5000  0.5000  0.0000
Hg  0.3298  0.8298  0.6597
Hg  0.9202  0.9202  0.8403
Ba  0.7500  0.2500  0.5000

---

Entry from Alexandria: crystalline BaHgI2 at its relaxed geometry (PBEsol).

Summary:
E_form (uncorrected)   -1.249 eV/atom

Cell lengths 5.8900, 5.8900, 5.8900 Å; angles 60.00, 60.00, 60.00 degrees
Sites, in units of the cell vectors:
I  0.7500  0.7500  0.7500
Ba  0.0000  0.0000  0.0000
Hg  0.5000  0.5000  0.5000
I  0.2500  0.2500  0.2500

---

Entry from Alexandria: crystalline BaNa2HgI at its relaxed geometry (PBEsol).

Summary:
E_form (uncorrected)   -0.228 eV/atom

Cell lengths 5.6562, 5.6562, 7.1495 Å; angles 90.00, 90.00, 90.00 degrees
Sites, in units of the cell vectors:
I  0.0000  0.0000  0.0000
Na  0.5000  0.0000  0.0000
Na  0.0000  0.5000  0.0000
Hg  0.0000  0.0000  0.5000
Ba  0.5000  0.5000  0.5000

---

Entry from Alexandria: crystalline Ba2ZnHgI at its relaxed geometry (PBEsol).

Summary:
E_form (uncorrected)   -0.146 eV/atom

Cell lengths 5.7232, 6.1237, 6.1237 Å; angles 90.00, 90.00, 90.00 degrees
Sites, in units of the cell vectors:
Hg  0.5000  0.5000  0.5000
Ba  0.0000  0.5000  0.0000
I  0.5000  0.0000  0.0000
Zn  0.0000  0.0000  0.0000
Ba  0.0000  0.0000  0.5000

---

Entry from Alexandria: crystalline BaIn2Hg at its relaxed geometry (PBEsol).

Summary:
E_form   -0.380 eV per atom

Cell lengths 5.4459, 5.4459, 5.4459 Å; angles 60.00, 60.00, 60.00 degrees
Sites, in units of the cell vectors:
Ba  0.5000  0.5000  0.5000
In  0.7500  0.7500  0.7500
Hg  0.2500  0.2500  0.2500
In  0.0000  0.0000  0.0000